# 1
# SrLi2Tl2 | Alexandria via LeMat-Bulk | meta-GGA SCAN | single point on PBEsol structure
# total magnetization = 0.000 μB/f.u.
# calculated volume = 128.8 Å³/f.u.
# energy of formation from the pure elements = -0.4058 eV per atom
# offset from the most stable computed form = 0.00 eV/f.u.
data_SrLi2Tl2
_chemical_formula_sum 'Sr2 Li4 Tl4'
_cell_length_a 4.2720
_cell_length_b 4.2720
_cell_length_c 14.1206
_cell_angle_alpha 90.00
_cell_angle_beta 90.00
_cell_angle_gamma 90.00
_space_group_name_H-M_alt 'I 4/m m m'
_space_group_IT_number 139
_space_group_name_Hall '-I 4 2'
loop_
_atom_site_label
_atom_site_fract_x
_atom_site_fract_y
_atom_site_fract_z
Sr1 0.0000 0.0000 0.0000
Li1 0.0000 0.5000 0.2500
Tl1 0.0000 0.0000 0.3868

# 2
# Co5Re | Alexandria via LeMat-Bulk | meta-GGA SCAN | single point on PBEsol structure
# total magnetization = 7.375 μB/f.u.
# calculated volume = 65.6 Å³/f.u.
# energy of formation from the pure elements = 0.1701 eV per atom
# offset from the most stable computed form = 0.41 eV/f.u.
data_Co5Re
_chemical_formula_sum 'Co10 Re2'
_cell_length_a 9.0884
_cell_length_b 2.5410
_cell_length_c 5.8693
_cell_angle_alpha 90.00
_cell_angle_beta 104.54
_cell_angle_gamma 90.00
_space_group_name_H-M_alt 'C 1 m 1'
_space_group_IT_number 8
loop_
_space_group_symop_operation_xyz
'x,y,z'
'x,-y,z'
'x+1/2,y+1/2,z'
'x+1/2,-y+1/2,z'
loop_
_atom_site_label
_atom_site_fract_x
_atom_site_fract_y
_atom_site_fract_z
Co1 0.0000 0.0000 0.0000
Co2 0.0543 0.0000 0.5954
Co3 0.1716 0.5000 0.3318
Co4 0.3390 0.0000 0.6556
Co5 0.3936 0.0000 0.2756
Re1 0.2226 0.5000 0.9353

# 3
# TlGaOs3 | Alexandria via LeMat-Bulk | meta-GGA SCAN | single point on PBEsol structure
# total magnetization = 1.931 μB/f.u.
# calculated volume = 92.1 Å³/f.u.
# energy of formation from the pure elements = 1.8741 eV per atom
# offset from the most stable computed form = 0.00 eV/f.u.
data_TlGaOs3
_chemical_formula_sum 'Tl1 Ga1 Os3'
_cell_length_a 4.5164
_cell_length_b 4.5164
_cell_length_c 4.5164
_cell_angle_alpha 90.00
_cell_angle_beta 90.00
_cell_angle_gamma 90.00
_space_group_name_H-M_alt 'P m -3 m'
_space_group_IT_number 221
_space_group_name_Hall '-P 4 2 3'
loop_
_atom_site_label
_atom_site_fract_x
_atom_site_fract_y
_atom_site_fract_z
Tl1 0.0000 0.0000 0.0000
Ga1 0.5000 0.5000 0.5000
Os1 0.0000 0.5000 0.5000